{"formula": "LaGaHg", "functional": "PBE-GGA", "state": "relaxed", "cell": [[6.711, 0.000, 0.000], [0.000, 4.952, 0.000], [0.000, 0.000, 9.396]], "species": ["La", "La", "La", "La", "Ga", "Ga", "Ga", "Ga", "Hg", "Hg", "Hg", "Hg"], "frac_coords": [[0.181, 0.250, 0.088], [0.319, 0.750, 0.588], [0.681, 0.250, 0.412], [0.819, 0.750, 0.912], [0.044, 0.250, 0.737], [0.456, 0.750, 0.237], [0.544, 0.250, 0.763], [0.956, 0.750, 0.263], [0.159, 0.250, 0.416], [0.341, 0.750, 0.916], [0.659, 0.250, 0.084], [0.841, 0.750, 0.584]], "e_tot_ev_per_cell": -38.65, "formation_energy_ev_per_atom": -0.4686, "dos_at_fermi_per_ev_atom": 0.482}